A plane-wave DFT calculation with PBE was carried out for an optimized crystal structure of Y3ScH.

Summary:
Electronic total energy: -5.95 eV/atom
Size of the total moment: 0.000 μB/atom
Energy relative to the lowest polymorph listed for this composition: 0.000 eV per atom

Unit cell a=4.9254 b=4.9254 c=4.9254 alpha=90.00 beta=90.00 gamma=90.00
Space group Pm-3m (No. 221)
Unique sites:
Y (0.0000, 0.0000, 0.5000) [3 per cell]
Sc (0.5000, 0.5000, 0.5000) [1 per cell]
H (0.0000, 0.0000, 0.0000) [1 per cell]